# 1
Computed, not measured: Ac2CeP3Pt12 after structural relaxation at the PBE-GGA level of DFT.

SG = R-3m
E = -6.24 eV per atom
size of the total moment = 0.0 Bohr magnetons per cell
N(E_F) = 0.5219 states/eV/atom

Cell lengths 7.997, 7.997, 7.997 Å; angles 62.66, 62.66, 62.66 degrees
Element x y z (fractional)
Pt 0.398 0.868 0.868
Pt 0.602 0.132 0.132
Pt 0.868 0.398 0.868
Pt 0.132 0.602 0.132
Pt 0.132 0.132 0.602
Pt 0.868 0.868 0.398
Pt 0.099 0.664 0.664
Pt 0.336 0.901 0.336
Pt 0.336 0.336 0.901
Pt 0.664 0.664 0.099
Pt 0.664 0.099 0.664
Pt 0.901 0.336 0.336
Ce 0.000 0.000 0.000
P 0.000 0.000 0.500
P 0.000 0.500 0.000
P 0.500 0.000 0.000
Ac 0.604 0.604 0.604
Ac 0.396 0.396 0.396


# 2
Computed, not measured: AcCe2PuP4 after structural relaxation at the PBE-GGA level of DFT.

SG = P2/m
E = -7.85 eV per atom
size of the total moment = 6.4 Bohr magnetons per cell
N(E_F) = 2.3611 states/eV/atom

Cell lengths 4.165, 7.222, 7.217 Å; angles 70.48, 90.00, 90.00 degrees
Last column: magnetic moment on the atom in μB.
Element x y z (fractional)
P 0.500 0.246 0.738  -0.07
P 0.500 0.754 0.262  -0.07
P 0.000 0.234 0.267  -0.04
P 0.000 0.766 0.733  -0.04
Ce 0.500 0.000 0.500  0.40
Ce 0.000 0.000 0.000  0.62
Ac 0.500 0.500 0.000  0.02
Pu 0.000 0.500 0.500  5.11


# 3
Computed, not measured: Ac2CeP3Rh12 after structural relaxation at the PBE-GGA level of DFT.

SG = R-3m
E = -6.97 eV per atom
size of the total moment = 0.0 Bohr magnetons per cell
N(E_F) = 0.6270 states/eV/atom

Cell lengths 7.440, 7.440, 7.440 Å; angles 68.35, 68.35, 68.35 degrees
Element x y z (fractional)
Rh 0.137 0.620 0.137
Rh 0.089 0.669 0.669
Rh 0.911 0.331 0.331
Rh 0.863 0.380 0.863
Rh 0.137 0.137 0.620
Rh 0.669 0.669 0.089
Rh 0.380 0.863 0.863
Rh 0.331 0.331 0.911
Rh 0.620 0.137 0.137
Rh 0.331 0.911 0.331
Rh 0.669 0.089 0.669
Rh 0.863 0.863 0.380
Ce 0.000 0.000 0.000
P 0.000 0.000 0.500
P 0.000 0.500 0.000
P 0.500 0.000 0.000
Ac 0.395 0.395 0.395
Ac 0.605 0.605 0.605


# 4
Computed, not measured: AcCeP2S8 after structural relaxation at the PBE-GGA level of DFT.

SG = P-3m1
E = -5.35 eV per atom
size of the total moment = 0.9 Bohr magnetons per cell
uncorrected formation energy = -0.863 eV per atom
N(E_F) = 0.6027 states/eV/atom

Cell lengths 6.696, 6.696, 8.873 Å; angles 90.00, 90.00, 120.00 degrees
Last column: magnetic moment on the atom in μB.
Element x y z (fractional)
P 0.667 0.333 0.309  0.01
P 0.333 0.667 0.691  0.01
S 0.333 0.667 0.467  0.00
S 0.333 0.166 0.227  -0.01
S 0.166 0.834 0.773  -0.01
S 0.834 0.166 0.227  -0.01
S 0.667 0.834 0.773  -0.01
S 0.166 0.333 0.773  -0.01
S 0.834 0.667 0.227  -0.01
S 0.667 0.333 0.533  0.00
Ac 0.000 0.000 0.500  0.00
Ce 0.000 0.000 0.000  0.85


# 5
Computed, not measured: AcCePSe after structural relaxation at the PBE-GGA level of DFT.

SG = R3m
E = -6.43 eV per atom
size of the total moment = 1.0 Bohr magnetons per cell
uncorrected formation energy = -1.697 eV per atom
N(E_F) = 1.7574 states/eV/atom

Cell lengths 4.290, 4.290, 7.553 Å; angles 73.50, 73.50, 60.00 degrees
Last column: magnetic moment on the atom in μB.
Element x y z (fractional)
Ac 0.995 0.995 0.016  0.02
Se 0.756 0.756 0.732  -0.01
Ce 0.505 0.505 0.484  0.81
P 0.244 0.244 0.268  -0.02


# 6
Computed, not measured: AcCe3Sm2P6 after structural relaxation at the PBE-GGA level of DFT.

SG = C2/m
E = -6.82 eV per atom
size of the total moment = 1.6 Bohr magnetons per cell
N(E_F) = 1.1934 states/eV/atom

Cell lengths 7.203, 7.203, 7.197 Å; angles 99.62, 99.62, 120.00 degrees
Last column: magnetic moment on the atom in μB.
Element x y z (fractional)
Ac 0.000 0.000 0.000  0.01
Ce 0.835 0.165 0.500  0.48
Ce 0.500 0.500 0.500  0.47
Ce 0.165 0.835 0.500  0.48
P 0.913 0.569 0.739  -0.02
P 0.431 0.087 0.261  -0.02
P 0.569 0.913 0.739  -0.02
P 0.743 0.743 0.259  -0.02
P 0.257 0.257 0.741  -0.02
P 0.087 0.431 0.261  -0.02
Sm 0.667 0.333 0.000  0.01
Sm 0.333 0.667 0.000  0.01


# 7
Computed, not measured: AcCeSm2P4 after structural relaxation at the PBE-GGA level of DFT.

SG = P2/m
E = -6.64 eV per atom
size of the total moment = 0.6 Bohr magnetons per cell
N(E_F) = 0.7733 states/eV/atom

Cell lengths 4.192, 7.259, 7.270 Å; angles 70.64, 90.00, 90.00 degrees
Last column: magnetic moment on the atom in μB.
Element x y z (fractional)
P 0.500 0.754 0.258  -0.01
P 0.500 0.246 0.742  -0.01
P 0.000 0.240 0.264  -0.01
P 0.000 0.760 0.736  -0.01
Ac 0.500 0.500 0.000  0.00
Sm 0.000 0.000 0.000  0.01
Sm 0.500 0.000 0.500  0.00
Ce 0.000 0.500 0.500  0.53


# 8
Computed, not measured: AcCe2SmP4 after structural relaxation at the PBE-GGA level of DFT.

SG = P2/m
E = -6.77 eV per atom
size of the total moment = 1.1 Bohr magnetons per cell
N(E_F) = 1.2074 states/eV/atom

Cell lengths 4.182, 7.250, 7.256 Å; angles 70.58, 90.00, 90.00 degrees
Last column: magnetic moment on the atom in μB.
Element x y z (fractional)
P 0.000 0.233 0.265  -0.01
P 0.500 0.760 0.256  -0.02
P 0.000 0.767 0.735  -0.01
P 0.500 0.240 0.744  -0.02
Sm 0.000 0.500 0.500  0.01
Ce 0.500 0.000 0.500  0.40
Ce 0.000 0.000 0.000  0.58
Ac 0.500 0.500 0.000  0.01


# 9
Computed, not measured: Sr2AcCeP4 after structural relaxation at the PBE-GGA level of DFT.

SG = P2/m
E = -5.55 eV per atom
size of the total moment = 0.0 Bohr magnetons per cell
N(E_F) = 1.3497 states/eV/atom

Cell lengths 4.337, 7.500, 7.494 Å; angles 109.53, 90.00, 90.00 degrees
Element x y z (fractional)
Ac 0.000 0.000 0.000
Sr 0.500 0.000 0.500
Sr 0.000 0.500 0.500
P 0.000 0.273 0.776
P 0.000 0.727 0.224
P 0.500 0.738 0.766
P 0.500 0.262 0.234
Ce 0.500 0.500 0.000


# 10
Computed, not measured: Sr3AcCe2P6 after structural relaxation at the PBE-GGA level of DFT.

SG = C2/m
E = -5.67 eV per atom
size of the total moment = 0.0 Bohr magnetons per cell
N(E_F) = 1.4359 states/eV/atom

Cell lengths 7.450, 7.450, 7.439 Å; angles 99.64, 99.64, 120.05 degrees
Element x y z (fractional)
Ce 0.333 0.667 0.000
Ce 0.667 0.333 0.000
P 0.427 0.075 0.224
P 0.724 0.724 0.226
P 0.075 0.427 0.224
P 0.925 0.573 0.776
P 0.573 0.925 0.776
P 0.276 0.276 0.774
Sr 0.836 0.164 0.500
Sr 0.500 0.500 0.500
Sr 0.164 0.836 0.500
Ac 0.000 0.000 0.000


# 11
Computed, not measured: AcTb2CeP4 after structural relaxation at the PBE-GGA level of DFT.

SG = P2/m
E = -6.63 eV per atom
size of the total moment = 0.6 Bohr magnetons per cell
N(E_F) = 0.7639 states/eV/atom

Cell lengths 4.153, 7.188, 7.203 Å; angles 70.63, 90.00, 90.00 degrees
Last column: magnetic moment on the atom in μB.
Element x y z (fractional)
Ac 0.500 0.500 0.000  0.00
Ce 0.000 0.500 0.500  0.54
P 0.500 0.759 0.256  -0.01
P 0.000 0.235 0.265  -0.01
P 0.500 0.241 0.744  -0.01
P 0.000 0.765 0.735  -0.01
Tb 0.000 0.000 0.000  0.01
Tb 0.500 0.000 0.500  0.00


# 12
Computed, not measured: Ac2CeTe2P2 after structural relaxation at the PBE-GGA level of DFT.

SG = I4/mmm
E = -5.78 eV per atom
size of the total moment = 0.0 Bohr magnetons per cell
uncorrected formation energy = -1.320 eV per atom
N(E_F) = 0.1239 states/eV/atom

Cell lengths 5.264, 5.264, 9.200 Å; angles 106.62, 106.62, 90.00 degrees
Element x y z (fractional)
Te 0.183 0.183 0.367
Te 0.817 0.817 0.633
P 0.500 0.000 0.000
P 0.000 0.500 0.000
Ac 0.619 0.619 0.239
Ac 0.381 0.381 0.761
Ce 0.000 0.000 0.000


# 13
Computed, not measured: AcCeTeP after structural relaxation at the PBE-GGA level of DFT.

SG = R3m
E = -6.07 eV per atom
size of the total moment = 1.2 Bohr magnetons per cell
uncorrected formation energy = -1.424 eV per atom
N(E_F) = 2.0981 states/eV/atom

Cell lengths 4.311, 4.311, 8.207 Å; angles 90.00, 105.22, 120.00 degrees
Last column: magnetic moment on the atom in μB.
Element x y z (fractional)
Te 0.977 0.387 0.379  -0.02
Ce 0.495 0.145 0.655  0.91
Ac 0.111 0.953 0.080  0.02
P 0.295 0.545 0.856  -0.02


# 14
Computed, not measured: AcCeTh2P4 after structural relaxation at the PBE-GGA level of DFT.

SG = P2/m
E = -7.32 eV per atom
size of the total moment = 0.7 Bohr magnetons per cell
N(E_F) = 1.0047 states/eV/atom

Cell lengths 4.203, 7.308, 7.286 Å; angles 70.61, 90.00, 90.00 degrees
Last column: magnetic moment on the atom in μB.
Element x y z (fractional)
P 0.500 0.757 0.256  -0.01
P 0.000 0.763 0.737  0.00
P 0.000 0.237 0.263  0.00
P 0.500 0.243 0.744  -0.01
Ac 0.500 0.500 0.000  0.01
Th 0.000 0.000 0.000  0.02
Th 0.500 0.000 0.500  0.01
Ce 0.000 0.500 0.500  0.61


# 15
Computed, not measured: Ac4CeTh3P8 after structural relaxation at the PBE-GGA level of DFT.

SG = R-3m
E = -7.00 eV per atom
size of the total moment = 0.8 Bohr magnetons per cell
N(E_F) = 0.5998 states/eV/atom

Cell lengths 8.540, 8.590, 8.539 Å; angles 119.80, 120.00, 90.00 degrees
Last column: magnetic moment on the atom in μB.
Element x y z (fractional)
Th 0.000 0.500 0.500  0.01
Th 0.500 0.500 0.000  0.01
Th 0.500 0.500 0.500  0.01
P 0.243 0.729 0.986  -0.01
P 0.743 0.729 0.486  0.00
P 0.243 0.729 0.486  -0.01
P 0.757 0.271 0.514  -0.01
P 0.757 0.271 0.014  -0.01
P 0.257 0.271 0.514  0.00
P 0.743 0.729 0.986  -0.01
P 0.257 0.271 0.014  -0.01
Ac 0.000 0.000 0.000  0.01
Ac 0.500 0.000 0.500  0.01
Ac 0.000 0.000 0.500  0.01
Ac 0.500 0.000 0.000  0.01
Ce 0.000 0.500 0.000  0.64


# 16
Computed, not measured: Ac3Ce2ThP6 after structural relaxation at the PBE-GGA level of DFT.

SG = C2/m
E = -6.82 eV per atom
size of the total moment = 1.3 Bohr magnetons per cell
N(E_F) = 0.9921 states/eV/atom

Cell lengths 7.389, 7.389, 7.437 Å; angles 99.53, 99.53, 120.01 degrees
Last column: magnetic moment on the atom in μB.
Element x y z (fractional)
Ac 0.833 0.167 0.500  0.01
Ac 0.500 0.500 0.500  0.01
Ac 0.167 0.833 0.500  0.01
Ce 0.333 0.667 0.000  0.57
Ce 0.667 0.333 0.000  0.57
P 0.076 0.409 0.228  -0.01
P 0.409 0.076 0.228  -0.01
P 0.743 0.743 0.228  -0.01
P 0.257 0.257 0.772  -0.01
P 0.591 0.924 0.772  -0.01
P 0.924 0.591 0.772  -0.01
Th 0.000 0.000 0.000  0.01


# 17
Computed, not measured: Ac2CeTmP4 after structural relaxation at the PBE-GGA level of DFT.

SG = P2/m
E = -6.50 eV per atom
size of the total moment = 0.5 Bohr magnetons per cell
N(E_F) = 0.7265 states/eV/atom

Cell lengths 4.230, 7.353, 7.301 Å; angles 70.64, 90.00, 90.00 degrees
Last column: magnetic moment on the atom in μB.
Element x y z (fractional)
Tm 0.000 0.500 0.500  0.00
P 0.500 0.724 0.261  -0.01
P 0.500 0.276 0.739  -0.01
P 0.000 0.725 0.756  -0.01
P 0.000 0.275 0.244  -0.01
Ac 0.000 0.000 0.000  0.01
Ac 0.500 0.000 0.500  0.00
Ce 0.500 0.500 0.000  0.44


# 18
Computed, not measured: Ac4Ce3UP8 after structural relaxation at the PBE-GGA level of DFT.

SG = R-3m
E = -6.92 eV per atom
size of the total moment = 3.9 Bohr magnetons per cell
N(E_F) = 1.4497 states/eV/atom

Cell lengths 8.465, 8.513, 8.465 Å; angles 119.81, 120.00, 90.00 degrees
Last column: magnetic moment on the atom in μB.
Element x y z (fractional)
P 0.237 0.722 0.474  -0.04
P 0.748 0.722 0.985  -0.04
P 0.252 0.278 0.015  -0.04
P 0.742 0.726 0.484  -0.02
P 0.763 0.278 0.015  -0.04
P 0.258 0.274 0.516  -0.02
P 0.237 0.722 0.985  -0.04
P 0.763 0.278 0.526  -0.04
Ac 0.500 0.000 0.000  0.02
Ac 0.000 0.000 0.000  0.01
Ac 0.500 0.000 0.500  0.01
Ac 0.000 0.000 0.500  0.01
Ce 0.500 0.500 0.500  0.53
Ce 0.500 0.500 0.000  0.53
Ce 0.000 0.500 0.500  0.53
U 0.000 0.500 0.000  2.00


# 19
Computed, not measured: AcCePaPb after structural relaxation at the PBE-GGA level of DFT.

SG = F-43m
E = -5.58 eV per atom
size of the total moment = 3.2 Bohr magnetons per cell
N(E_F) = 3.1234 states/eV/atom

Cell lengths 5.622, 5.622, 5.622 Å; angles 60.00, 60.00, 60.00 degrees
Last column: magnetic moment on the atom in μB.
Element x y z (fractional)
Ce 0.000 0.000 0.000  0.95
Pb 0.750 0.750 0.750  -0.03
Ac 0.500 0.500 0.500  0.10
Pa 0.250 0.250 0.250  1.38


# 20
Computed, not measured: Ac2CePaS8 after structural relaxation at the PBE-GGA level of DFT.

SG = Pmmm
E = -6.47 eV per atom
size of the total moment = 0.0 Bohr magnetons per cell
uncorrected formation energy = -1.752 eV per atom
N(E_F) = 0.4463 states/eV/atom

Cell lengths 4.704, 6.976, 9.395 Å; angles 90.00, 90.00, 90.01 degrees
Element x y z (fractional)
S 0.500 0.779 0.000
S 0.000 0.773 0.241
S 0.000 0.773 0.759
S 0.000 0.227 0.241
S 0.500 0.769 0.500
S 0.500 0.221 0.000
S 0.000 0.227 0.759
S 0.500 0.231 0.500
Pa 0.000 0.000 0.000
Ac 0.500 0.500 0.749
Ac 0.500 0.500 0.251
Ce 0.000 0.000 0.500